Entry 1:
Density functional theory data (GGA-PBE) for a geometry-optimized SrZn2Cu structure.

Properties
For the energy relative to the elements, the calculation gives -34 meV per atom.

Cell and atoms, written as CIF:
```
data_SrZn2Cu
_chemical_formula_sum 'Sr1 Zn2 Cu1'
_cell_length_a 4.074
_cell_length_b 4.074
_cell_length_c 5.658
_cell_angle_alpha 90.00
_cell_angle_beta 90.00
_cell_angle_gamma 90.00
_space_group_name_H-M_alt 'P 4 m m'
_space_group_IT_number 99
loop_
_space_group_symop_operation_xyz
'x,y,z'
'-y,x,z'
'-x,-y,z'
'y,-x,z'
'-x,y,z'
'y,x,z'
'x,-y,z'
'-y,-x,z'
loop_
_atom_site_label
_atom_site_fract_x
_atom_site_fract_y
_atom_site_fract_z
_atom_site_occupancy
Sr1 0.000 0.000 0.000 1
Zn1 0.000 0.500 0.489 1
Cu1 0.500 0.500 0.737 1
```

Entry 2:
Density functional theory data (GGA-PBE) for a geometry-optimized SrZn5Cu2 structure.

Properties
For the energy relative to the elements, the calculation gives -139 meV per atom.

Cell and atoms, written as CIF:
```
data_SrZn5Cu2
_chemical_formula_sum 'Sr2 Zn10 Cu4'
_cell_length_a 4.038
_cell_length_b 7.308
_cell_length_c 9.735
_cell_angle_alpha 90.00
_cell_angle_beta 90.00
_cell_angle_gamma 90.00
_space_group_name_H-M_alt 'I m m m'
_space_group_IT_number 71
_space_group_name_Hall '-I 2 2'
loop_
_atom_site_label
_atom_site_fract_x
_atom_site_fract_y
_atom_site_fract_z
_atom_site_occupancy
Sr1 0.000 0.000 0.000 1
Zn1 0.000 0.184 0.347 1
Zn2 0.000 0.500 0.000 1
Cu1 0.000 0.500 0.249 1
```

Entry 3:
Density functional theory data (GGA-PBE) for a geometry-optimized SrZn2Cu structure.

Properties
For the energy relative to the elements, the calculation gives 115 meV per atom.

Cell and atoms, written as CIF:
```
data_SrZn2Cu
_chemical_formula_sum 'Sr1 Zn2 Cu1'
_cell_length_a 4.350
_cell_length_b 4.350
_cell_length_c 4.691
_cell_angle_alpha 90.00
_cell_angle_beta 90.00
_cell_angle_gamma 90.00
_space_group_name_H-M_alt 'P 4/m m m'
_space_group_IT_number 123
_space_group_name_Hall '-P 4 2'
loop_
_atom_site_label
_atom_site_fract_x
_atom_site_fract_y
_atom_site_fract_z
_atom_site_occupancy
Sr1 0.000 0.000 0.000 1
Zn1 0.000 0.500 0.500 1
Cu1 0.500 0.500 0.000 1
```

Entry 4:
Density functional theory data (GGA-PBE) for a geometry-optimized Sr4Zn2Cu5 structure.

Properties
For the energy relative to the elements, the calculation gives -43 meV per atom.

Cell and atoms, written as CIF:
```
data_Sr4Zn2Cu5
_chemical_formula_sum 'Sr4 Zn2 Cu5'
_cell_length_a 7.077
_cell_length_b 4.614
_cell_length_c 8.154
_cell_angle_alpha 90.00
_cell_angle_beta 92.14
_cell_angle_gamma 90.00
_space_group_name_H-M_alt 'P 1 2/m 1'
_space_group_IT_number 10
loop_
_space_group_symop_operation_xyz
'x,y,z'
'-x,-y,-z'
'-x,y,-z'
'x,-y,z'
loop_
_atom_site_label
_atom_site_fract_x
_atom_site_fract_y
_atom_site_fract_z
_atom_site_occupancy
Sr1 0.238 0.000 0.367 1
Sr2 0.258 0.000 0.872 1
Zn1 0.419 0.500 0.636 1
Cu1 0.000 0.500 0.000 1
Cu2 0.068 0.500 0.646 1
Cu3 0.373 0.500 0.108 1
```

Entry 5:
Density functional theory data (GGA-PBE) for a geometry-optimized SrZn3Cu3 structure.

Properties
For the energy relative to the elements, the calculation gives 154 meV per atom.

Cell and atoms, written as CIF:
```
data_SrZn3Cu3
_chemical_formula_sum 'Sr2 Zn6 Cu6'
_cell_length_a 6.707
_cell_length_b 6.707
_cell_length_c 6.707
_cell_angle_alpha 90.00
_cell_angle_beta 90.00
_cell_angle_gamma 90.00
_space_group_name_H-M_alt 'P m -3 n'
_space_group_IT_number 223
_space_group_name_Hall '-P 4n 2 3'
loop_
_atom_site_label
_atom_site_fract_x
_atom_site_fract_y
_atom_site_fract_z
_atom_site_occupancy
Sr1 0.000 0.000 0.000 1
Zn1 0.000 0.250 0.500 1
Cu1 0.000 0.500 0.250 1
```

Entry 6:
Density functional theory data (GGA-PBE) for a geometry-optimized SrZn4Cu4 structure.

Properties
For the energy relative to the elements, the calculation gives -110 meV per atom.

Cell and atoms, written as CIF:
```
data_SrZn4Cu4
_chemical_formula_sum 'Sr2 Zn8 Cu8'
_cell_length_a 8.461
_cell_length_b 8.461
_cell_length_c 4.380
_cell_angle_alpha 90.00
_cell_angle_beta 90.00
_cell_angle_gamma 90.00
_space_group_name_H-M_alt 'I 4/m'
_space_group_IT_number 87
_space_group_name_Hall '-I 4'
loop_
_atom_site_label
_atom_site_fract_x
_atom_site_fract_y
_atom_site_fract_z
_atom_site_occupancy
Sr1 0.000 0.000 0.000 1
Zn1 0.168 0.280 0.500 1
Cu1 0.099 0.398 0.000 1
```

Entry 7:
Density functional theory data (GGA-PBE) for a geometry-optimized Sr3Zn3Cu structure.

Properties
For the energy relative to the elements, the calculation gives -177 meV per atom.

Cell and atoms, written as CIF:
```
data_Sr3Zn3Cu
_chemical_formula_sum 'Sr12 Zn12 Cu4'
_cell_length_a 11.665
_cell_length_b 4.473
_cell_length_c 15.868
_cell_angle_alpha 90.00
_cell_angle_beta 108.78
_cell_angle_gamma 90.00
_space_group_name_H-M_alt 'C 1 2/m 1'
_space_group_IT_number 12
loop_
_space_group_symop_operation_xyz
'x,y,z'
'-x,-y,-z'
'-x,y,-z'
'x,-y,z'
'x+1/2,y+1/2,z'
'-x+1/2,-y+1/2,-z'
'-x+1/2,y+1/2,-z'
'x+1/2,-y+1/2,z'
loop_
_atom_site_label
_atom_site_fract_x
_atom_site_fract_y
_atom_site_fract_z
_atom_site_occupancy
Sr1 0.024 0.000 0.390 1
Sr2 0.109 0.000 0.920 1
Sr3 0.249 0.000 0.238 1
Zn1 0.050 0.500 0.239 1
Zn2 0.094 0.500 0.079 1
Zn3 0.178 0.500 0.540 1
Cu1 0.232 0.500 0.391 1
```

Entry 8:
Density functional theory data (GGA-PBE) for a geometry-optimized SrZn4Cu9 structure.

Properties
For the energy relative to the elements, the calculation gives -115 meV per atom.

Cell and atoms, written as CIF:
```
data_SrZn4Cu9
_chemical_formula_sum 'Sr4 Zn16 Cu36'
_cell_length_a 8.361
_cell_length_b 8.361
_cell_length_c 11.898
_cell_angle_alpha 90.00
_cell_angle_beta 90.00
_cell_angle_gamma 90.00
_space_group_name_H-M_alt 'I 4/m c m'
_space_group_IT_number 140
_space_group_name_Hall '-I 4 2c'
loop_
_atom_site_label
_atom_site_fract_x
_atom_site_fract_y
_atom_site_fract_z
_atom_site_occupancy
Sr1 0.000 0.000 0.250 1
Zn1 0.182 0.318 0.121 1
Cu1 0.000 0.500 0.000 1
Cu2 0.063 0.205 0.500 1
Cu3 0.113 0.387 0.322 1
```

Entry 9:
Density functional theory data (GGA-PBE) for a geometry-optimized SrZn2Cu5 structure.

Properties
For the energy relative to the elements, the calculation gives 3 meV per atom.

Cell and atoms, written as CIF:
```
data_SrZn2Cu5
_chemical_formula_sum 'Sr2 Zn4 Cu10'
_cell_length_a 3.920
_cell_length_b 6.886
_cell_length_c 9.903
_cell_angle_alpha 90.00
_cell_angle_beta 90.00
_cell_angle_gamma 90.00
_space_group_name_H-M_alt 'I m m m'
_space_group_IT_number 71
_space_group_name_Hall '-I 2 2'
loop_
_atom_site_label
_atom_site_fract_x
_atom_site_fract_y
_atom_site_fract_z
_atom_site_occupancy
Sr1 0.000 0.000 0.000 1
Zn1 0.000 0.500 0.247 1
Cu1 0.000 0.180 0.368 1
Cu2 0.000 0.500 0.000 1
```

Entry 10:
Density functional theory data (GGA-PBE) for a geometry-optimized Sr5Zn5Cu2 structure.

Properties
For the energy relative to the elements, the calculation gives -150 meV per atom.

Cell and atoms, written as CIF:
```
data_Sr5Zn5Cu2
_chemical_formula_sum 'Sr10 Zn10 Cu4'
_cell_length_a 16.767
_cell_length_b 4.251
_cell_length_c 12.280
_cell_angle_alpha 90.00
_cell_angle_beta 129.77
_cell_angle_gamma 90.00
_space_group_name_H-M_alt 'C 1 2/m 1'
_space_group_IT_number 12
loop_
_space_group_symop_operation_xyz
'x,y,z'
'-x,-y,-z'
'-x,y,-z'
'x,-y,z'
'x+1/2,y+1/2,z'
'-x+1/2,-y+1/2,-z'
'-x+1/2,y+1/2,-z'
'x+1/2,-y+1/2,z'
loop_
_atom_site_label
_atom_site_fract_x
_atom_site_fract_y
_atom_site_fract_z
_atom_site_occupancy
Sr1 0.000 0.000 0.000 1
Sr2 0.120 0.500 0.818 1
Sr3 0.194 0.500 0.583 1
Zn1 0.000 0.000 0.500 1
Zn2 0.069 0.000 0.324 1
Zn3 0.206 0.500 0.155 1
Cu1 0.112 0.500 0.260 1
```